i.
# Li2CrNiSn | Alexandria via LeMat-Bulk | PBE | optimized geometry
# D(E_F)   6.3 states/eV/f.u.
# Size of the total moment   0.00 Bohr magnetons per cell
data_Li2CrNiSn
_chemical_formula_sum 'Li2 Cr1 Ni1 Sn1'
_cell_length_a 4.265
_cell_length_b 4.265
_cell_length_c 4.432
_cell_angle_alpha 90.00
_cell_angle_beta 90.00
_cell_angle_gamma 90.00
_space_group_name_H-M_alt 'P 4/m m m'
_space_group_IT_number 123
_space_group_name_Hall '-P 4 2'
loop_
_atom_site_label
_atom_site_type_symbol
_atom_site_fract_x
_atom_site_fract_y
_atom_site_fract_z
Li1 Li 0.000 0.500 0.000
Cr1 Cr 0.000 0.000 0.500
Ni1 Ni 0.000 0.000 0.000
Sn1 Sn 0.500 0.500 0.500

=====

ii.
# Li2CrNiSn | Alexandria via LeMat-Bulk | PBE | optimized geometry
# D(E_F)   2.8 states/eV/f.u.
# Size of the total moment   4.31 Bohr magnetons per cell
data_Li2CrNiSn
_chemical_formula_sum 'Li2 Cr1 Ni1 Sn1'
_cell_length_a 4.894
_cell_length_b 4.894
_cell_length_c 4.716
_cell_angle_alpha 90.00
_cell_angle_beta 90.00
_cell_angle_gamma 90.00
_space_group_name_H-M_alt 'P 4/m m m'
_space_group_IT_number 123
_space_group_name_Hall '-P 4 2'
loop_
_atom_site_label
_atom_site_type_symbol
_atom_site_fract_x
_atom_site_fract_y
_atom_site_fract_z
Li1 Li 0.000 0.500 0.000
Cr1 Cr 0.000 0.000 0.500
Ni1 Ni 0.500 0.500 0.500
Sn1 Sn 0.500 0.500 0.000

=====

So which one is most stable? That would be i, about 200 meV per atom below the next structure.